Compound: AlTl2Os
Source: Alexandria via LeMat-Bulk
Functional: PBE
Structure: optimized geometry

Results
uncorrected energy	-36.3	eV for the cell shown
V	260	Å³/cell
excess energy over the best structure of this formula in the dataset	0.59	eV per formula unit
crystal system	tetragonal
symmetry	I-42d

a = 10.441 Å, b = 10.441 Å, c = 7.758 Å
α = 47.71°, β = 47.71°, γ = 90.00°
Fractional positions:
Al 0.500 0.500 0.000
Tl 0.875 0.124 0.750
Os 0.000 0.000 0.000
Tl 0.876 0.625 0.250
Al 0.250 0.750 0.500
Tl 0.874 0.125 0.250
Tl 0.375 0.126 0.750
Os 0.750 0.250 0.500

=====

Compound: FeCo4Pt2
Source: Alexandria via LeMat-Bulk
Functional: PBE
Structure: optimized geometry

Results
uncorrected energy	-96.1	eV for the cell shown
V	188	Å³/cell
crystal system	tetragonal
symmetry	P4_2/mnm

a = 4.294 Å, b = 6.623 Å, c = 6.623 Å
α = 90.00°, β = 90.00°, γ = 90.00°
Each line ends with the local moment (μB).
Fractional positions:
Co 0.000 0.859 0.594  1.74
Co 0.500 0.641 0.094  1.74
Pt 0.500 0.682 0.682  0.38
Pt 0.000 0.818 0.182  0.38
Co 0.000 0.406 0.141  1.74
Pt 0.500 0.318 0.318  0.38
Co 0.500 0.094 0.641  1.74
Fe 0.000 0.500 0.500  3.01
Co 0.000 0.141 0.406  1.74
Co 0.500 0.906 0.359  1.74
Fe 0.500 0.000 0.000  3.01
Co 0.000 0.594 0.859  1.74
Co 0.500 0.359 0.906  1.74
Pt 0.000 0.182 0.818  0.38

=====

Compound: Ca2LaRe
Source: Alexandria via LeMat-Bulk
Functional: PBE
Structure: optimized geometry

Results
uncorrected energy	-18.5	eV for the cell shown
V	113	Å³/cell
excess energy over the best structure of this formula in the dataset	1.28	eV per formula unit
crystal system	trigonal
symmetry	R-3m

a = 11.652 Å, b = 11.652 Å, c = 11.652 Å
α = 16.62°, β = 16.62°, γ = 16.62°
Each line ends with the local moment (μB).
Fractional positions:
Re 0.750 0.750 0.750  0.90
La 0.250 0.250 0.250  0.01
Ca 0.483 0.483 0.483  0.00
Ca 0.017 0.017 0.017  0.00

=====

Compound: BaGeSeO2
Source: Alexandria via LeMat-Bulk
Functional: PBE
Structure: optimized geometry

Results
uncorrected energy	-57.8	eV for the cell shown
V	221	Å³/cell
raw formation energy	-8.960	eV/f.u.
crystal system	orthorhombic
symmetry	Cmcm

a = 5.405 Å, b = 6.323 Å, c = 7.209 Å
α = 116.01°, β = 90.00°, γ = 90.00°
Fractional positions:
O 0.000 0.199 0.000
O 0.500 0.199 0.000
Se 0.250 0.219 0.438
Ge 0.250 0.034 0.068
O 0.000 0.801 0.000
Ba 0.250 0.634 0.268
Se 0.750 0.781 0.562
Ba 0.750 0.366 0.732
O 0.500 0.801 0.000
Ge 0.750 0.966 0.932

=====

Compound: PmAl2Pd5
Source: Alexandria via LeMat-Bulk
Functional: PBE
Structure: optimized geometry

Results
uncorrected energy	-44.4	eV for the cell shown
V	141	Å³/cell
crystal system	orthorhombic
symmetry	Immm

a = 3.931 Å, b = 6.497 Å, c = 6.497 Å
α = 65.63°, β = 72.39°, γ = 72.39°
Fractional positions:
Pm 0.000 0.000 0.000
Pd 0.000 0.500 0.500
Pd 0.643 0.157 0.557
Pd 0.357 0.843 0.443
Pd 0.357 0.443 0.843
Al 0.761 0.739 0.739
Al 0.239 0.261 0.261
Pd 0.643 0.557 0.157

=====

Compound: NaSr2CoN
Source: Alexandria via LeMat-Bulk
Functional: PBE
Structure: optimized geometry

Results
uncorrected energy	-20.9	eV for the cell shown
V	114	Å³/cell
raw formation energy	-0.753	eV/f.u.
crystal system	tetragonal
symmetry	P4/mmm

a = 5.605 Å, b = 5.605 Å, c = 3.633 Å
α = 90.00°, β = 90.00°, γ = 90.00°
Fractional positions:
N 0.000 0.000 0.000
Sr 0.000 0.500 0.000
Co 0.000 0.000 0.500
Sr 0.500 0.000 0.000
Na 0.500 0.500 0.500

=====

Which value of V does entry 3 give? 113 Å³/cell

=====

Which of these has the highest uncorrected energy? Ca2LaRe